P.
# BMoIO2, relaxed, DFT PBE with a Hubbard U
data_BMoIO2
_space_group_name_H-M_alt 'P 4/m m m'
_space_group_IT_number 123
_space_group_name_Hall '-P 4 2'
_cell_length_a 3.878
_cell_length_b 3.878
_cell_length_c 7.489
_cell_angle_alpha 90.00
_cell_angle_beta 90.00
_cell_angle_gamma 90.00
loop_
_atom_site_label
_atom_site_type_symbol
_atom_site_fract_x
_atom_site_fract_y
_atom_site_fract_z
B1 B 0.000 0.000 0.000
Mo1 Mo 0.500 0.500 0.500
I1 I 0.500 0.500 0.000
O1 O 0.000 0.500 0.500
# Fermi-level density of states, states/eV/cell: 1.4

=====

Q.
# BMoIO2, relaxed, DFT PBE with a Hubbard U
data_BMoIO2
_space_group_name_H-M_alt 'P 4/m m m'
_space_group_IT_number 123
_space_group_name_Hall '-P 4 2'
_cell_length_a 3.886
_cell_length_b 3.886
_cell_length_c 4.634
_cell_angle_alpha 90.00
_cell_angle_beta 90.00
_cell_angle_gamma 90.00
loop_
_atom_site_label
_atom_site_type_symbol
_atom_site_fract_x
_atom_site_fract_y
_atom_site_fract_z
B1 B 0.000 0.000 0.000
Mo1 Mo 0.500 0.500 0.500
I1 I 0.000 0.000 0.500
O1 O 0.000 0.500 0.000
# Fermi-level density of states, states/eV/cell: 1.4

=====

The most stable of them is P.